1.
# Tl2CrAu (GGA-PBE, optimized geometry)
data_Tl2CrAu
_chemical_formula_sum 'Tl2 Cr1 Au1'
_cell_length_a 4.7450
_cell_length_b 3.4406
_cell_length_c 5.6119
_cell_angle_alpha 83.86
_cell_angle_beta 90.00
_cell_angle_gamma 90.00
_symmetry_space_group_name_H-M 'P 1'
_symmetry_Int_Tables_number 1
_symmetry_space_group_name_Hall 'P 1'
loop_
_atom_site_label
_atom_site_type_symbol
_atom_site_fract_x
_atom_site_fract_y
_atom_site_fract_z
_atom_site_occupancy
Cr1 Cr 0.5000 0.7500 0.7500 1
Tl1 Tl 0.0000 0.4898 0.4997 1
Tl2 Tl 0.0000 0.0102 0.0003 1
Au1 Au 0.5000 0.2500 0.2500 1
# Density = 11.99 g cm⁻³
# DFT total energy = -3.99 eV/atom
# Formation energy from the elements = 416 meV per atom
# Space group = No. 10
# Volume = 22.77 A^3/atom
# Relative energy among the computed polymorphs = 167.5 meV per atom

***

2.
# LiGd2Tm (GGA-PBE, optimized geometry)
data_LiGd2Tm
_chemical_formula_sum 'Li1 Gd2 Tm1'
_cell_length_a 5.4761
_cell_length_b 5.4761
_cell_length_c 5.4761
_cell_angle_alpha 60.00
_cell_angle_beta 60.00
_cell_angle_gamma 60.00
_symmetry_space_group_name_H-M 'P 1'
_symmetry_Int_Tables_number 1
_symmetry_space_group_name_Hall 'P 1'
loop_
_atom_site_label
_atom_site_type_symbol
_atom_site_fract_x
_atom_site_fract_y
_atom_site_fract_z
_atom_site_occupancy
Gd1 Gd 0.7500 0.7500 0.7500 1
Gd2 Gd 0.2500 0.2500 0.2500 1
Tm1 Tm 0.0000 0.0000 0.0000 1
Li1 Li 0.5000 0.5000 0.5000 1
# Density = 7.01 g cm⁻³
# DFT total energy = -8.48 eV/atom
# Formation energy from the elements = 161 meV per atom
# Space group = No. 225
# Volume = 29.03 A^3/atom
# Relative energy among the computed polymorphs = 90.9 meV per atom

***

Question: Which value of relative energy among the computed polymorphs does entry 1 give?
Answer: 167.5 meV per atom